[1]
Tb5Tl3 | SCAN | PBEsol geometry

Calculated values
Magnetic moment = 0.00 μB/f.u.
E_form = -0.51 eV/atom
Theoretical density = 10.6 Mg/m³

Geometry as CIF:
```
data_Tb5Tl3
_chemical_formula_sum 'Tb20 Tl12'
_space_group_name_H-M_alt 'I 4/m c m'
_space_group_IT_number 140
_space_group_name_Hall '-I 4 2c'
_cell_length_a 8.3274
_cell_length_b 8.3274
_cell_length_c 12.7699
_cell_angle_alpha 90.00
_cell_angle_beta 90.00
_cell_angle_gamma 90.00
loop_
_atom_site_label
_atom_site_type_symbol
_atom_site_fract_x
_atom_site_fract_y
_atom_site_fract_z
Tb1 Tb 0.0000 0.0000 0.0000
Tb2 Tb 0.1537 0.3463 0.1527
Tl1 Tl 0.0000 0.0000 0.2500
Tl2 Tl 0.1450 0.3550 0.5000
```

[2]
HgRh2 | SCAN | PBEsol geometry

Calculated values
Magnetic moment = 1.78 μB/f.u.
E_form = 0.54 eV/atom
Theoretical density = 12.3 Mg/m³

Geometry as CIF:
```
data_HgRh2
_chemical_formula_sum 'Hg1 Rh2'
_space_group_name_H-M_alt 'P 4/m m m'
_space_group_IT_number 123
_space_group_name_Hall '-P 4 2'
_cell_length_a 3.5519
_cell_length_b 3.5519
_cell_length_c 4.3496
_cell_angle_alpha 90.00
_cell_angle_beta 90.00
_cell_angle_gamma 90.00
loop_
_atom_site_label
_atom_site_type_symbol
_atom_site_fract_x
_atom_site_fract_y
_atom_site_fract_z
Hg1 Hg 0.0000 0.0000 0.0000
Rh1 Rh 0.0000 0.5000 0.5000
```

Number 1: E_tot -1819.8 eV per cell. Number 2: E_tot -134.1 eV per cell.